Entry from OQMD: a relaxed CoNiB2 crystal (GGA-PBE).

Output
The raw total energy is -6.814 eV/atom. The density is 7.29 g/cm3.

Lattice parameters (Å, degrees): 2.988 3.922 3.922 43.68 90.00 90.00
Fractional coordinates of all 4 atoms:
Co 0.000 0.000 0.000
Ni 0.500 0.712 0.712
B 0.000 0.288 0.288
B 0.500 0.428 0.428